1.
Below is a relaxed Rb2HgSI crystal, with properties calculated at the GGA-PBE level.

Cell lengths 6.516, 6.516, 5.176 Å; angles 90.00, 90.00, 90.00 degrees
Space group P4/mmm (No. 123)
Unique sites:
Rb 0.000 0.500 0.000 [2 per cell]
Hg 0.000 0.000 0.500 [1 per cell]
S 0.000 0.000 0.000 [1 per cell]
I 0.500 0.500 0.500 [1 per cell]

Properties
ΔE_f (raw)	-0.929	eV per atom
density	4.0	Mg/m³
total DFT energy (no corrections)	-12.56	eV per formula unit
DOS(E_F)	0.254	states/eV/atom


2.
Below is a relaxed Rb2HgSI6 crystal, with properties calculated at the GGA-PBE level.

Cell lengths 8.347, 8.347, 12.005 Å; angles 90.00, 90.00, 90.00 degrees
Space group I4/mmm (No. 139)
Unique sites:
Rb 0.000 0.500 0.250 [4 per cell]
Hg 0.000 0.000 0.000 [2 per cell]
S 0.000 0.000 0.500 [2 per cell]
I 0.000 0.000 0.273 [4 per cell]
I 0.249 0.249 0.000 [8 per cell]

Properties
ΔE_f (raw)	-0.550	eV per atom
density	4.6	Mg/m³
total DFT energy (no corrections)	-21.17	eV per formula unit
DOS(E_F)	0.446	states/eV/atom


3.
Below is a relaxed RbHg2SI crystal, with properties calculated at the GGA-PBE level.

Cell lengths 5.291, 5.291, 6.793 Å; angles 90.00, 90.00, 90.00 degrees
Space group P4/mmm (No. 123)
Unique sites:
Rb 0.000 0.000 0.000 [1 per cell]
Hg 0.000 0.500 0.500 [2 per cell]
S 0.000 0.000 0.500 [1 per cell]
I 0.500 0.500 0.000 [1 per cell]

Properties
ΔE_f (raw)	-0.532	eV per atom
density	5.6	Mg/m³
total DFT energy (no corrections)	-9.91	eV per formula unit
DOS(E_F)	0.292	states/eV/atom


4.
Below is a relaxed RbHgSbI2 crystal, with properties calculated at the GGA-PBE level.

Cell lengths 6.952, 6.952, 7.935 Å; angles 90.00, 90.00, 90.00 degrees
Space group P4/mmm (No. 123)
Unique sites:
Rb 0.000 0.000 0.000 [1 per cell]
Hg 0.500 0.500 0.500 [1 per cell]
Sb 0.000 0.000 0.500 [1 per cell]
I 0.000 0.500 0.000 [2 per cell]

Properties
ΔE_f (raw)	0.225	eV per atom
density	2.9	Mg/m³
total DFT energy (no corrections)	-7.37	eV per formula unit
DOS(E_F)	2.235	states/eV/atom


5.
Below is a relaxed RbHgSbI2 crystal, with properties calculated at the GGA-PBE level.

Cell lengths 6.436, 6.436, 5.563 Å; angles 90.00, 90.00, 90.00 degrees
Space group P4/mmm (No. 123)
Unique sites:
Rb 0.000 0.000 0.000 [1 per cell]
Hg 0.500 0.500 0.500 [1 per cell]
Sb 0.500 0.500 0.000 [1 per cell]
I 0.000 0.500 0.500 [2 per cell]

Properties
ΔE_f (raw)	-0.276	eV per atom
density	4.8	Mg/m³
total DFT energy (no corrections)	-9.87	eV per formula unit
DOS(E_F)	0.454	states/eV/atom


6.
Below is a relaxed RbHgSbI2 crystal, with properties calculated at the GGA-PBE level.

Cell lengths 6.368, 6.368, 5.774 Å; angles 90.00, 90.00, 90.00 degrees
Space group P4/mmm (No. 123)
Unique sites:
Rb 0.000 0.000 0.000 [1 per cell]
Hg 0.500 0.500 0.000 [1 per cell]
Sb 0.500 0.500 0.500 [1 per cell]
I 0.000 0.500 0.500 [2 per cell]

Properties
ΔE_f (raw)	-0.507	eV per atom
density	4.7	Mg/m³
total DFT energy (no corrections)	-11.03	eV per formula unit
DOS(E_F)	0.413	states/eV/atom